Compound: NdEuZn
Source: Alexandria via LeMat-Bulk
Functional: GGA-PBE
Structure: optimized geometry

Output
Total moment (μB per cell): 7.3

abc: 3.746 3.746 6.967
angles: 105.60 105.60 90.00
Last column: magnetic moment on the atom in μB.
Fractional positions:
Eu 0.026 0.026 0.052  -6.90
Nd 0.302 0.302 0.604  -0.04
Zn 0.672 0.672 0.345  0.01



Compound: NdEuZn
Source: Alexandria via LeMat-Bulk
Functional: GGA-PBE
Structure: optimized geometry

Output
Total moment (μB per cell): 7.6

abc: 5.182 5.182 5.182
angles: 60.00 60.00 60.00
Last column: magnetic moment on the atom in μB.
Fractional positions:
Nd 0.500 0.500 0.500  0.14
Eu 0.000 0.000 0.000  6.89
Zn 0.250 0.250 0.250  0.02



Compound: Nd2EuZr
Source: Alexandria via LeMat-Bulk
Functional: GGA-PBE
Structure: optimized geometry

Output
Total moment (μB per cell): 7.4

abc: 3.557 3.557 10.338
angles: 90.00 90.00 90.00
Last column: magnetic moment on the atom in μB.
Fractional positions:
Nd 0.000 0.000 0.782  -0.01
Nd 0.000 0.000 0.218  -0.01
Zr 0.500 0.500 0.000  0.05
Eu 0.500 0.500 0.500  -6.97



Compound: NdEu2Zr
Source: Alexandria via LeMat-Bulk
Functional: GGA-PBE
Structure: optimized geometry

Output
Total moment (μB per cell): 15.2

abc: 3.450 3.450 12.770
angles: 82.24 82.24 60.00
Last column: magnetic moment on the atom in μB.
Fractional positions:
Zr 0.000 0.000 0.000  -0.27
Eu 0.083 0.083 0.752  -7.05
Eu 0.917 0.917 0.248  -7.05
Nd 0.500 0.500 0.500  0.03



Compound: NdEuZr
Source: Alexandria via LeMat-Bulk
Functional: GGA-PBE
Structure: optimized geometry

Output
Total moment (μB per cell): 7.4

abc: 3.475 3.475 8.191
angles: 102.24 102.24 90.00
Last column: magnetic moment on the atom in μB.
Fractional positions:
Zr 0.673 0.673 0.345  -0.01
Nd 0.317 0.317 0.634  -0.01
Eu 0.010 0.010 0.021  -6.92



Compound: Nd2EuZr
Source: Alexandria via LeMat-Bulk
Functional: GGA-PBE
Structure: optimized geometry

Output
Total moment (μB per cell): 7.1

abc: 4.920 5.074 5.074
angles: 90.00 90.00 90.00
Last column: magnetic moment on the atom in μB.
Fractional positions:
Nd 0.000 0.000 0.500  -0.01
Nd 0.000 0.500 0.000  -0.01
Zr 0.500 0.000 0.000  -0.01
Eu 0.500 0.500 0.500  6.82



Compound: EuNi3
Source: Alexandria via LeMat-Bulk
Functional: GGA-PBE
Structure: optimized geometry

Output
Total moment (μB per cell): 5.6

abc: 3.915 3.915 3.915
angles: 90.00 90.00 90.00
Last column: magnetic moment on the atom in μB.
Fractional positions:
Ni 0.500 0.500 0.000  -0.38
Ni 0.500 0.000 0.500  -0.38
Ni 0.000 0.500 0.500  -0.38
Eu 0.000 0.000 0.000  6.58



Compound: EuNi2
Source: Alexandria via LeMat-Bulk
Functional: GGA-PBE
Structure: optimized geometry

Output
Total moment (μB per cell): 6.9

abc: 3.274 3.274 5.450
angles: 107.48 107.48 90.00
Last column: magnetic moment on the atom in μB.
Fractional positions:
Eu 0.000 0.000 0.000  6.86
Ni 0.285 0.285 0.569  -0.15
Ni 0.715 0.715 0.431  -0.15



Compound: EuNi5
Source: Alexandria via LeMat-Bulk
Functional: GGA-PBE
Structure: optimized geometry

Output
Total moment (μB per cell): 4.5

abc: 4.978 4.978 3.945
angles: 90.00 90.00 120.00
Last column: magnetic moment on the atom in μB.
Fractional positions:
Ni 0.667 0.333 0.000  0.50
Ni 0.500 0.500 0.500  0.54
Ni 0.500 0.000 0.500  0.54
Ni 0.333 0.667 0.000  0.50
Ni 0.000 0.500 0.500  0.54
Eu 0.000 0.000 0.000  -6.68



Compound: EuNpNi4
Source: Alexandria via LeMat-Bulk
Functional: GGA-PBE
Structure: optimized geometry

Output
Total moment (μB per cell): 10.3

abc: 5.084 5.084 5.084
angles: 60.00 60.00 60.00
Last column: magnetic moment on the atom in μB.
Fractional positions:
Ni 0.128 0.624 0.624  -0.20
Ni 0.624 0.624 0.624  -0.20
Ni 0.624 0.624 0.128  -0.20
Ni 0.624 0.128 0.624  -0.20
Np 0.250 0.250 0.250  3.77
Eu 0.000 0.000 0.000  6.80



no.,energy relative to the elements (eV/atom)
1,-0.181
2,0.042
3,0.117
4,0.414
5,0.186
6,0.218
7,0.176
8,0.097
9,-0.139
10,-0.091